# PBE-GGA Hf2Be16Ni, relaxed
# SG: R3m
# Calculated total energy in eV per atom: -4.771
# ΔH_f (0 K) in kJ/mol of atoms: -27.14
data_Hf2Be16Ni
_cell_length_a 5.670
_cell_length_b 5.670
_cell_length_c 5.670
_cell_angle_alpha 83.07
_cell_angle_beta 83.07
_cell_angle_gamma 83.07
_space_group_name_H-M_alt 'P 1'
_space_group_IT_number 1
loop_
_space_group_symop_operation_xyz
'x,y,z'
loop_
_atom_site_label
_atom_site_fract_x
_atom_site_fract_y
_atom_site_fract_z
Hf1 0.660 0.660 0.660
Hf2 0.340 0.340 0.340
Be1 0.714 0.999 0.284
Be2 0.999 0.284 0.714
Be3 0.284 0.714 0.999
Be4 0.999 0.714 0.284
Be5 0.714 0.284 0.999
Be6 0.284 0.999 0.714
Be7 0.344 0.842 0.344
Be8 0.842 0.344 0.344
Be9 0.344 0.344 0.842
Be10 0.658 0.157 0.658
Be11 0.157 0.658 0.658
Be12 0.658 0.658 0.157
Be13 0.000 0.501 0.000
Be14 0.501 0.000 0.000
Be15 0.000 0.000 0.501
Be16 0.101 0.101 0.101
Ni1 0.904 0.904 0.904


# PBE-GGA HfBeNi, relaxed
# SG: Pmma
# Calculated total energy in eV per atom: -6.879
# ΔH_f (0 K) in kJ/mol of atoms: -37.81
data_HfBeNi
_cell_length_a 3.385
_cell_length_b 6.287
_cell_length_c 11.260
_cell_angle_alpha 90.00
_cell_angle_beta 90.00
_cell_angle_gamma 90.00
_space_group_name_H-M_alt 'P 1'
_space_group_IT_number 1
loop_
_space_group_symop_operation_xyz
'x,y,z'
loop_
_atom_site_label
_atom_site_fract_x
_atom_site_fract_y
_atom_site_fract_z
Hf1 0.000 0.254 0.961
Hf2 0.000 0.746 0.039
Hf3 0.000 0.254 0.539
Hf4 0.000 0.746 0.461
Hf5 0.000 0.143 0.250
Hf6 0.000 0.857 0.750
Be1 0.500 0.047 0.092
Be2 0.500 0.953 0.908
Be3 0.500 0.047 0.408
Be4 0.500 0.953 0.592
Be5 0.000 0.562 0.250
Be6 0.000 0.438 0.750
Ni1 0.500 0.425 0.132
Ni2 0.500 0.575 0.868
Ni3 0.500 0.425 0.368
Ni4 0.500 0.575 0.632
Ni5 0.500 0.791 0.250
Ni6 0.500 0.209 0.750


# PBE-GGA Hf3BeNi2, relaxed
# SG: Pnma
# Calculated total energy in eV per atom: -7.837
# ΔH_f (0 K) in kJ/mol of atoms: -30.10
data_Hf3BeNi2
_cell_length_a 4.040
_cell_length_b 9.000
_cell_length_c 10.610
_cell_angle_alpha 90.00
_cell_angle_beta 90.00
_cell_angle_gamma 90.00
_space_group_name_H-M_alt 'P 1'
_space_group_IT_number 1
loop_
_space_group_symop_operation_xyz
'x,y,z'
loop_
_atom_site_label
_atom_site_fract_x
_atom_site_fract_y
_atom_site_fract_z
Hf1 0.250 0.378 0.059
Hf2 0.750 0.622 0.941
Hf3 0.750 0.878 0.441
Hf4 0.250 0.122 0.559
Hf5 0.250 0.689 0.210
Hf6 0.750 0.311 0.790
Hf7 0.750 0.189 0.290
Hf8 0.250 0.811 0.710
Hf9 0.250 0.420 0.387
Hf10 0.750 0.580 0.613
Hf11 0.750 0.920 0.113
Hf12 0.250 0.080 0.887
Be1 0.250 0.108 0.138
Be2 0.750 0.892 0.862
Be3 0.750 0.608 0.362
Be4 0.250 0.392 0.638
Ni1 0.250 0.685 0.468
Ni2 0.750 0.315 0.532
Ni3 0.750 0.185 0.032
Ni4 0.250 0.815 0.968
Ni5 0.250 0.995 0.319
Ni6 0.750 0.005 0.681
Ni7 0.750 0.495 0.181
Ni8 0.250 0.505 0.819


# PBE-GGA HfBe2Ni, relaxed
# SG: I4_1/amd
# Calculated total energy in eV per atom: -5.658
# ΔH_f (0 K) in kJ/mol of atoms: 13.44
data_HfBe2Ni
_cell_length_a 3.872
_cell_length_b 3.872
_cell_length_c 7.869
_cell_angle_alpha 75.76
_cell_angle_beta 75.76
_cell_angle_gamma 90.00
_space_group_name_H-M_alt 'P 1'
_space_group_IT_number 1
loop_
_space_group_symop_operation_xyz
'x,y,z'
loop_
_atom_site_label
_atom_site_fract_x
_atom_site_fract_y
_atom_site_fract_z
Ni1 0.500 0.500 0.000
Ni2 0.250 0.750 0.500
Hf1 0.000 0.000 0.000
Hf2 0.750 0.250 0.500
Be1 0.374 0.125 0.250
Be2 0.376 0.625 0.250
Be3 0.375 0.626 0.750
Be4 0.875 0.624 0.750


# PBE-GGA HfBeNi, relaxed
# SG: I4mm
# Calculated total energy in eV per atom: -6.716
# ΔH_f (0 K) in kJ/mol of atoms: -22.14
data_HfBeNi
_cell_length_a 2.951
_cell_length_b 2.951
_cell_length_c 5.070
_cell_angle_alpha 106.92
_cell_angle_beta 106.92
_cell_angle_gamma 90.00
_space_group_name_H-M_alt 'P 1'
_space_group_IT_number 1
loop_
_space_group_symop_operation_xyz
'x,y,z'
loop_
_atom_site_label
_atom_site_fract_x
_atom_site_fract_y
_atom_site_fract_z
Ni1 0.648 0.648 0.296
Hf1 0.951 0.951 0.901
Be1 0.251 0.251 0.503


# PBE-GGA HfBe4Ni, relaxed
# SG: C2/m
# Calculated total energy in eV per atom: -4.965
# ΔH_f (0 K) in kJ/mol of atoms: 13.62
data_HfBe4Ni
_cell_length_a 4.153
_cell_length_b 4.151
_cell_length_c 6.556
_cell_angle_alpha 69.35
_cell_angle_beta 110.75
_cell_angle_gamma 63.99
_space_group_name_H-M_alt 'P 1'
_space_group_IT_number 1
loop_
_space_group_symop_operation_xyz
'x,y,z'
loop_
_atom_site_label
_atom_site_fract_x
_atom_site_fract_y
_atom_site_fract_z
Hf1 0.500 0.000 0.000
Be1 0.279 0.221 0.281
Be2 0.721 0.779 0.719
Be3 0.000 0.000 0.500
Be4 0.500 0.500 0.500
Ni1 0.000 0.500 0.500


# PBE-GGA Hf2Be5Ni5, relaxed
# SG: Pmmm
# Calculated total energy in eV per atom: -6.056
# ΔH_f (0 K) in kJ/mol of atoms: -42.05
data_Hf2Be5Ni5
_cell_length_a 3.738
_cell_length_b 4.555
_cell_length_c 8.061
_cell_angle_alpha 90.00
_cell_angle_beta 90.00
_cell_angle_gamma 90.00
_space_group_name_H-M_alt 'P 1'
_space_group_IT_number 1
loop_
_space_group_symop_operation_xyz
'x,y,z'
loop_
_atom_site_label
_atom_site_fract_x
_atom_site_fract_y
_atom_site_fract_z
Hf1 0.000 0.500 0.000
Hf2 0.000 0.000 0.500
Be1 0.500 0.500 0.500
Be2 0.500 0.751 0.252
Be3 0.500 0.249 0.748
Be4 0.500 0.249 0.252
Be5 0.500 0.751 0.748
Ni1 0.000 0.500 0.334
Ni2 0.000 0.000 0.821
Ni3 0.000 0.000 0.179
Ni4 0.000 0.500 0.666
Ni5 0.500 0.000 0.000


# PBE-GGA HfBeNi, relaxed
# SG: Ima2
# Calculated total energy in eV per atom: -6.890
# ΔH_f (0 K) in kJ/mol of atoms: -38.84
data_HfBeNi
_cell_length_a 6.322
_cell_length_b 7.201
_cell_length_c 7.201
_cell_angle_alpha 57.38
_cell_angle_beta 63.96
_cell_angle_gamma 63.96
_space_group_name_H-M_alt 'P 1'
_space_group_IT_number 1
loop_
_space_group_symop_operation_xyz
'x,y,z'
loop_
_atom_site_label
_atom_site_fract_x
_atom_site_fract_y
_atom_site_fract_z
Hf1 0.257 0.958 0.458
Hf2 0.672 0.042 0.542
Hf3 0.673 0.542 0.042
Hf4 0.257 0.458 0.958
Hf5 0.842 0.250 0.750
Hf6 0.842 0.750 0.250
Ni1 0.498 0.500 0.500
Ni2 0.498 0.000 0.000
Ni3 0.257 0.880 0.879
Ni4 0.016 0.120 0.121
Ni5 0.016 0.621 0.620
Ni6 0.257 0.379 0.380
Be1 0.257 0.749 0.249
Be2 0.256 0.251 0.751
Be3 0.590 0.667 0.666
Be4 0.923 0.333 0.334
Be5 0.923 0.834 0.833
Be6 0.590 0.166 0.167